Here is DyMn12 after structural relaxation from the Alexandria database. Energies are from PBE.

Computed properties:
M_tot: 2.56 μB/f.u.
Energy relative to the elements: 8 meV per atom
Density of states at the Fermi level: 16.2 states/eV/f.u.
V: 12.4 A^3/atom

The structure in POSCAR format:
```
DyMn12
1.0
4.699 0.000 0.000
2.350 5.847 0.000
2.350 0.000 5.847
Dy Mn
1 12
Direct
0.000 0.000 0.000
0.729 0.771 0.771
0.500 0.000 0.500
0.000 0.500 0.000
0.500 0.500 0.000
0.000 0.000 0.500
0.365 0.635 0.635
0.000 0.365 0.635
0.000 0.635 0.365
0.635 0.365 0.365
0.271 0.229 0.229
0.500 0.771 0.229
0.500 0.229 0.771
```